Material: Ba2CaTa
Method: DFT, PBE
State: optimized geometry

abc: 12.8846 12.8846 12.8846
angles: 16.33 16.33 16.33
Atoms (fractional coordinates):
Ca1 0.2500 0.2500 0.2500
Ba1 0.0125 0.0125 0.0125
Ba2 0.4875 0.4875 0.4875
Ta1 0.7500 0.7500 0.7500

Output
As for the symmetry: R-3m, No. 166.

***

Material: Pr5Sm5Y
Method: DFT, PBE
State: optimized geometry

abc: 6.2588 6.2588 11.6547
angles: 90.00 90.00 120.00
Atoms (fractional coordinates):
Pr1 0.3403 0.1701 0.5000
Pr2 0.0000 0.0000 0.2630
Pr3 0.8299 0.6597 0.5000
Pr4 0.8299 0.1701 0.5000
Pr5 0.0000 0.0000 0.7370
Sm1 0.6667 0.3333 0.1588
Sm2 0.6667 0.3333 0.8412
Sm3 0.3333 0.6667 0.3176
Sm4 0.3333 0.6667 0.6824
Sm5 0.0000 0.0000 0.0000
Y1 0.3333 0.6667 0.0000

Output
As for the symmetry: P-6m2, No. 187.

***

| no. | Fermi-level density of states (states/eV per cell) | E_form (eV/atom) |
| --- | --- | --- |
| 1 | 3.51 | 0.843 |
| 2 | 19.56 | 0.310 |